# 1
Density functional theory data (PBE) for a relaxed Zr5Sc12Pa crystal.

Summary:
SG	C2/m (12)

Cell lengths 5.6188, 5.6188, 15.8576 Å; angles 93.38, 93.38, 120.03 degrees
Positions (direct):
Zr 0.0000 0.0000 0.0000
Zr 0.1667 0.8333 0.5000
Zr 0.3329 0.6671 0.0000
Zr 0.6671 0.3329 0.0000
Zr 0.8333 0.1667 0.5000
Sc 0.0525 0.3863 0.1612
Sc 0.1144 0.1144 0.3348
Sc 0.2252 0.5552 0.6651
Sc 0.2800 0.2800 0.8389
Sc 0.3863 0.0525 0.1612
Sc 0.4448 0.7748 0.3349
Sc 0.5552 0.2252 0.6651
Sc 0.6137 0.9475 0.8388
Sc 0.7200 0.7200 0.1611
Sc 0.7748 0.4448 0.3349
Sc 0.8856 0.8856 0.6652
Sc 0.9475 0.6137 0.8388
Pa 0.5000 0.5000 0.5000

# 2
Density functional theory data (PBE) for a relaxed Zr2ScPa crystal.

Summary:
excess energy over the best structure of this formula in the dataset	36	meV per atom
SG	R-3m (166)

Cell lengths 3.2240, 3.2240, 32.0506 Å; angles 90.00, 90.00, 120.00 degrees
Positions (direct):
Zr 0.0000 0.0000 0.2493
Zr 0.0000 0.0000 0.7507
Zr 0.3333 0.6667 0.4174
Zr 0.3333 0.6667 0.9159
Zr 0.6667 0.3333 0.0841
Zr 0.6667 0.3333 0.5826
Sc 0.0000 0.0000 0.5000
Sc 0.3333 0.6667 0.1667
Sc 0.6667 0.3333 0.8333
Pa 0.0000 0.0000 0.0000
Pa 0.3333 0.6667 0.6667
Pa 0.6667 0.3333 0.3333

# 3
Density functional theory data (PBE) for a relaxed ZrScPa crystal.

Summary:
excess energy over the best structure of this formula in the dataset	27	meV per atom
SG	Immm (71)

Cell lengths 5.2647, 6.2939, 8.9142 Å; angles 90.00, 90.00, 90.00 degrees
Positions (direct):
Zr 0.0000 0.0000 0.1719
Zr 0.0000 0.0000 0.8281
Zr 0.5000 0.5000 0.3281
Zr 0.5000 0.5000 0.6719
Sc 0.0000 0.5000 0.1643
Sc 0.0000 0.5000 0.8357
Sc 0.5000 0.0000 0.3357
Sc 0.5000 0.0000 0.6643
Pa 0.0000 0.2802 0.5000
Pa 0.0000 0.7198 0.5000
Pa 0.5000 0.2198 0.0000
Pa 0.5000 0.7802 0.0000

# 4
Density functional theory data (PBE) for a relaxed ZrScPa crystal.

Summary:
excess energy over the best structure of this formula in the dataset	99	meV per atom
SG	I4mm (107)

Cell lengths 3.5661, 3.5661, 11.1993 Å; angles 90.00, 90.00, 90.00 degrees
Positions (direct):
Zr 0.0000 0.0000 0.0000
Zr 0.5000 0.5000 0.5000
Sc 0.0000 0.0000 0.3215
Sc 0.5000 0.5000 0.8215
Pa 0.0000 0.0000 0.6546
Pa 0.5000 0.5000 0.1546

# 5
Density functional theory data (PBE) for a relaxed Zr3ScPa crystal.

Summary:
SG	Cmcm (63)

Cell lengths 12.1671, 12.1671, 4.4569 Å; angles 90.00, 90.00, 158.93 degrees
Positions (direct):
Zr 0.0507 0.9493 0.7500
Zr 0.1464 0.8536 0.2500
Zr 0.3537 0.6463 0.2500
Zr 0.6463 0.3537 0.7500
Zr 0.8536 0.1464 0.7500
Zr 0.9493 0.0507 0.2500
Sc 0.4502 0.5498 0.7500
Sc 0.5498 0.4502 0.2500
Pa 0.2504 0.7496 0.7500
Pa 0.7496 0.2504 0.2500

# 6
Density functional theory data (PBE) for a relaxed Zr2ScPa6 crystal.

Summary:
SG	C2/m (12)

Cell lengths 9.1806, 9.1806, 3.2203 Å; angles 94.40, 94.40, 125.39 degrees
Positions (direct):
Zr 0.1654 0.8346 0.0000
Zr 0.8346 0.1654 0.0000
Sc 0.0000 0.0000 0.5000
Pa 0.1729 0.5038 0.6704
Pa 0.3366 0.3366 0.1844
Pa 0.4962 0.8271 0.3296
Pa 0.5038 0.1729 0.6704
Pa 0.6634 0.6634 0.8156
Pa 0.8271 0.4962 0.3296

# 7
Density functional theory data (PBE) for a relaxed Zr2ScPa crystal.

Summary:
excess energy over the best structure of this formula in the dataset	105	meV per atom
SG	Fm-3m (225)

Cell lengths 7.2226, 7.2226, 7.2226 Å; angles 90.00, 90.00, 90.00 degrees
Positions (direct):
Zr 0.2500 0.2500 0.2500
Zr 0.2500 0.2500 0.7500
Zr 0.2500 0.7500 0.2500
Zr 0.2500 0.7500 0.7500
Zr 0.7500 0.2500 0.2500
Zr 0.7500 0.2500 0.7500
Zr 0.7500 0.7500 0.2500
Zr 0.7500 0.7500 0.7500
Sc 0.0000 0.0000 0.0000
Sc 0.0000 0.5000 0.5000
Sc 0.5000 0.0000 0.5000
Sc 0.5000 0.5000 0.0000
Pa 0.0000 0.0000 0.5000
Pa 0.0000 0.5000 0.0000
Pa 0.5000 0.0000 0.0000
Pa 0.5000 0.5000 0.5000

# 8
Density functional theory data (PBE) for a relaxed Zr4Sc8Pa crystal.

Summary:
SG	C2/m (12)

Cell lengths 6.6750, 6.6750, 9.0012 Å; angles 111.71, 111.71, 60.04 degrees
Positions (direct):
Zr 0.0000 0.0000 0.0000
Zr 0.0000 0.5000 0.0000
Zr 0.5000 0.0000 0.0000
Zr 0.5000 0.5000 0.0000
Sc 0.1991 0.7505 0.7002
Sc 0.2209 0.2209 0.6625
Sc 0.2496 0.2496 0.2997
Sc 0.2495 0.8009 0.2998
Sc 0.7505 0.1991 0.7002
Sc 0.7504 0.7504 0.7003
Sc 0.7791 0.7791 0.3375
Sc 0.8009 0.2495 0.2998
Pa 0.5000 0.5000 0.5000

# 9
Density functional theory data (PBE) for a relaxed ZrSc2Pa4 crystal.

Summary:
SG	Cmmm (65)

Cell lengths 4.8244, 22.2833, 3.1944 Å; angles 90.00, 90.00, 90.00 degrees
Positions (direct):
Zr 0.0000 0.0000 0.0000
Zr 0.5000 0.5000 0.0000
Sc 0.0000 0.2862 0.5000
Sc 0.0000 0.7138 0.5000
Sc 0.5000 0.2138 0.5000
Sc 0.5000 0.7862 0.5000
Pa 0.0000 0.1450 0.0000
Pa 0.0000 0.4301 0.5000
Pa 0.0000 0.5699 0.5000
Pa 0.0000 0.8550 0.0000
Pa 0.5000 0.0699 0.5000
Pa 0.5000 0.3550 0.0000
Pa 0.5000 0.6450 0.0000
Pa 0.5000 0.9301 0.5000

# 10
Density functional theory data (PBE) for a relaxed ZrScPa crystal.

Summary:
excess energy over the best structure of this formula in the dataset	8	meV per atom
SG	Cmcm (63)

Cell lengths 3.1864, 17.3028, 5.2861 Å; angles 90.00, 90.00, 90.00 degrees
Positions (direct):
Zr 0.0000 0.1064 0.2500
Zr 0.0000 0.8936 0.7500
Zr 0.5000 0.3936 0.7500
Zr 0.5000 0.6064 0.2500
Sc 0.0000 0.4448 0.2500
Sc 0.0000 0.5552 0.7500
Sc 0.5000 0.0552 0.7500
Sc 0.5000 0.9448 0.2500
Pa 0.0000 0.2300 0.7500
Pa 0.0000 0.7700 0.2500
Pa 0.5000 0.2700 0.2500
Pa 0.5000 0.7300 0.7500

# 11
Density functional theory data (PBE) for a relaxed Zr2ScPa crystal.

Summary:
excess energy over the best structure of this formula in the dataset	59	meV per atom
SG	P4/mmm (123)

Cell lengths 4.6764, 4.6764, 4.3614 Å; angles 90.00, 90.00, 90.00 degrees
Positions (direct):
Zr 0.0000 0.5000 0.0000
Zr 0.5000 0.0000 0.0000
Sc 0.0000 0.0000 0.5000
Pa 0.5000 0.5000 0.5000

# 12
Density functional theory data (PBE) for a relaxed ZrSc3Pa crystal.

Summary:
SG	C2/m (12)

Cell lengths 8.6618, 8.6618, 6.5563 Å; angles 103.36, 103.36, 30.20 degrees
Positions (direct):
Zr 0.1008 0.1008 0.0633
Zr 0.8992 0.8992 0.9367
Sc 0.1004 0.1004 0.5512
Sc 0.3006 0.3006 0.1409
Sc 0.4981 0.4981 0.7603
Sc 0.5019 0.5019 0.2397
Sc 0.6994 0.6994 0.8591
Sc 0.8996 0.8996 0.4488
Pa 0.2966 0.2966 0.6389
Pa 0.7034 0.7034 0.3611

Values for formation energy from the elements, meV per atom, ordered as above
21 78 108 180 53 96 148 299 98 89 101 44